(1)
## Li2TlSeF (PBE)

Data for a relaxed structure of Li2TlSeF.

abc: 4.093 6.052 4.093
angles: 90.00 90.00 90.00
Atoms (fractional coordinates):
F  0.000  0.000  0.000
Li  0.000  0.000  0.500
Li  0.500  0.000  0.000
Se  0.000  0.500  0.000
Tl  0.500  0.500  0.500



(2)
## Hg3As8S8Br6 (PBE)

Data for a relaxed structure of Hg3As8S8Br6.

abc: 10.301 11.800 14.743
angles: 90.00 108.89 90.00
Atoms (fractional coordinates):
S  0.459  0.828  0.721
S  0.541  0.328  0.779
S  0.850  0.213  0.853
S  0.173  0.811  0.926
S  0.459  0.672  0.221
S  0.518  0.199  0.498
S  0.150  0.787  0.147
S  0.850  0.287  0.353
S  0.541  0.172  0.279
S  0.482  0.699  0.002
S  0.827  0.311  0.574
S  0.518  0.301  0.998
S  0.173  0.689  0.426
S  0.150  0.713  0.647
S  0.827  0.189  0.074
S  0.482  0.801  0.502
As  0.624  0.418  0.922
As  0.631  0.151  0.814
As  0.631  0.349  0.314
As  0.369  0.849  0.186
As  0.131  0.827  0.520
As  0.369  0.651  0.686
As  0.624  0.082  0.422
As  0.869  0.173  0.480
As  0.386  0.870  0.013
As  0.131  0.673  0.020
As  0.376  0.918  0.578
As  0.869  0.327  0.980
As  0.386  0.630  0.513
As  0.614  0.370  0.487
As  0.376  0.582  0.078
As  0.614  0.130  0.987
Hg  0.255  0.284  0.816
Hg  0.745  0.716  0.184
Hg  0.255  0.216  0.316
Hg  0.745  0.784  0.684
Hg  0.000  0.000  0.000
Hg  0.000  0.500  0.500
Br  0.834  0.527  0.163
Br  0.213  0.117  0.063
Br  0.834  0.973  0.663
Br  0.722  0.580  0.720
Br  0.787  0.617  0.437
Br  0.278  0.080  0.780
Br  0.787  0.883  0.937
Br  0.722  0.920  0.220
Br  0.166  0.473  0.837
Br  0.166  0.027  0.337
Br  0.278  0.420  0.280
Br  0.213  0.383  0.563



(3)
## As3Br5 (PBE)

Data for a relaxed structure of As3Br5.

abc: 7.832 7.832 3.707
angles: 90.00 90.00 108.68
Atoms (fractional coordinates):
Br  0.698  0.698  0.500
Br  0.000  0.000  0.000
Br  0.302  0.302  0.500
Br  0.000  0.500  0.000
Br  0.500  0.000  0.000
As  0.500  0.500  0.000
As  0.177  0.823  0.500
As  0.823  0.177  0.500



(4)
## BaBiP2O8 (PBE)

Data for a relaxed structure of BaBiP2O8.

abc: 5.148 5.148 8.171
angles: 90.00 90.00 120.00
Atoms (fractional coordinates):
O  0.708  0.068  0.314
O  0.292  0.932  0.686
O  0.667  0.333  0.066
O  0.068  0.360  0.686
O  0.333  0.667  0.934
O  0.932  0.640  0.314
O  0.360  0.292  0.314
O  0.640  0.708  0.686
Bi  0.000  0.000  0.500
P  0.333  0.667  0.746
P  0.667  0.333  0.254
Ba  0.000  0.000  0.000



(5)
## SrLa6Te8 (PBE)

Data for a relaxed structure of SrLa6Te8.

abc: 9.160 9.160 9.160
angles: 60.00 60.00 60.00
Atoms (fractional coordinates):
La  0.500  0.000  0.000
La  0.000  0.500  0.500
La  0.500  0.000  0.500
La  0.000  0.000  0.500
La  0.000  0.500  0.000
La  0.500  0.500  0.000
Sr  0.000  0.000  0.000
Te  0.256  0.256  0.744
Te  0.750  0.750  0.750
Te  0.744  0.744  0.256
Te  0.256  0.744  0.744
Te  0.256  0.744  0.256
Te  0.744  0.256  0.256
Te  0.744  0.256  0.744
Te  0.250  0.250  0.250



(6)
## MgIrBr2 (PBE)

Data for a relaxed structure of MgIrBr2.

abc: 4.596 4.596 3.660
angles: 90.00 90.00 90.00
Atoms (fractional coordinates):
Ir  0.500  0.000  0.500
Br  0.500  0.500  0.000
Br  0.000  0.000  0.000
Mg  0.000  0.500  0.500



no.,E_tot (eV per atom),E_form (uncorrected) (meV/atom)
1,-3.393,-1083
2,-3.498,-252
3,-2.545,244
4,-6.857,-2166
5,-5.373,-1615
6,-3.052,398